Computed, not measured: an optimized crystal structure of NaNiMo2O at the PBE+U level of DFT.

Unit cell a=5.348 b=5.348 c=3.903 alpha=90.00 beta=90.00 gamma=90.00
Atoms (fractional coordinates):
1 Na 0.000 0.000 0.000
2 Ni 0.500 0.500 0.500
3 Mo 0.000 0.500 0.000
4 Mo 0.500 0.000 0.000
5 O 0.000 0.000 0.500

Calculated values
Fermi-level density of states (states/eV per cell): 1.73
DFT total energy (eV/atom): -3.09